Below is a geometry-optimized Cu3O2 structure, with properties calculated at the PBE level.

Summary:
Symmetry ... R-3m
ΔE_f (raw) ... -0.40 eV per atom

Geometry as CIF:
```
data_Cu3O2
_chemical_formula_sum 'Cu9 O6'
_space_group_name_H-M_alt 'P 1'
_space_group_IT_number 1
_cell_length_a 5.908
_cell_length_b 5.908
_cell_length_c 6.478
_cell_angle_alpha 90.00
_cell_angle_beta 90.00
_cell_angle_gamma 120.00
loop_
_space_group_symop_operation_xyz
'x,y,z'
loop_
_atom_site_label
_atom_site_type_symbol
_atom_site_fract_x
_atom_site_fract_y
_atom_site_fract_z
Cu1 Cu 0.000 0.500 0.000
Cu2 Cu 0.167 0.333 0.333
Cu3 Cu 0.167 0.833 0.333
Cu4 Cu 0.333 0.167 0.667
Cu5 Cu 0.500 0.000 0.000
Cu6 Cu 0.500 0.500 0.000
Cu7 Cu 0.667 0.833 0.333
Cu8 Cu 0.833 0.167 0.667
Cu9 Cu 0.833 0.667 0.667
O1 O 0.000 0.000 0.232
O2 O 0.000 0.000 0.768
O3 O 0.333 0.667 0.435
O4 O 0.333 0.667 0.899
O5 O 0.667 0.333 0.101
O6 O 0.667 0.333 0.565
```